1.
DFT (SCAN) results for GaI2 at its PBEsol-relaxed geometry.

Summary:
The formation energy without anion corrections is -0.422 eV per atom. The volume is 1350 Å³/cell. Its total magnetic moment is 0.0 μB/f.u.

POSCAR file:
```
GaI2
1.0
12.5156 7.2259 2.4879
-12.5156 7.2259 2.4879
0.0000 -14.4518 2.4879
Ga I
12 24
direct
0.9996 0.8096 0.1956
0.0126 0.1470 0.8404
0.1470 0.8404 0.0126
0.1956 0.9996 0.8096
0.3096 0.4996 0.6956
0.3404 0.6470 0.5126
0.4996 0.6956 0.3096
0.5126 0.3404 0.6470
0.6470 0.5126 0.3404
0.6956 0.3096 0.4996
0.8096 0.1956 0.9996
0.8404 0.0126 0.1470
0.0568 0.4733 0.1301
0.1301 0.0568 0.4733
0.2339 0.4984 0.9826
0.2793 0.9286 0.3330
0.3031 0.3909 0.4908
0.3330 0.2793 0.9286
0.3909 0.4908 0.3031
0.4286 0.7793 0.8330
0.4733 0.1301 0.0568
0.4826 0.9984 0.7339
0.4908 0.3031 0.3909
0.4984 0.9826 0.2339
0.5568 0.6301 0.9733
0.6301 0.9733 0.5568
0.7339 0.4826 0.9984
0.7793 0.8330 0.4286
0.8031 0.9908 0.8909
0.8330 0.4286 0.7793
0.8909 0.8031 0.9908
0.9286 0.3330 0.2793
0.9733 0.5568 0.6301
0.9826 0.2339 0.4984
0.9908 0.8909 0.8031
0.9984 0.7339 0.4826
```

---

2.
DFT (SCAN) results for TlAg4As at its PBEsol-relaxed geometry.

Summary:
The volume is 115 Å³/cell. As for the formation energy: 20 kJ per mole of atoms. Its total magnetic moment is 0.0 μB/f.u.

POSCAR file:
```
TlAg4As
1.0
0.0000 3.8605 3.8605
3.8605 0.0000 3.8605
3.8605 3.8605 0.0000
Tl Ag As
1 4 1
direct
0.0000 0.0000 0.0000
0.1256 0.6248 0.6248
0.6248 0.1256 0.6248
0.6248 0.6248 0.1256
0.6248 0.6248 0.6248
0.2500 0.2500 0.2500
```

---

3.
DFT (SCAN) results for SrCa3 at its PBEsol-relaxed geometry.

Summary:
The calculation puts the distance to the lowest polymorph of the same formula at 0.5 meV/atom. The volume is 171 Å³/cell. As for the formation energy: 1 kJ per mole of atoms. Its total magnetic moment is 0.0 μB/f.u.

POSCAR file:
```
SrCa3
1.0
4.4869 0.0000 0.0000
0.0000 4.4869 0.0000
0.0000 0.0000 8.5060
Sr Ca
1 3
direct
0.0000 0.0000 0.0000
0.0000 0.0000 0.5000
0.5000 0.5000 0.2650
0.5000 0.5000 0.7350
```

---

4.
DFT (SCAN) results for ZnSnP2O7 at its PBEsol-relaxed geometry.

Summary:
The formation energy without anion corrections is -2.130 eV per atom. The calculation puts the distance to the lowest polymorph of the same formula at 0.0 meV/atom. The volume is 562 Å³/cell. Its total magnetic moment is 0.0 μB/f.u.

POSCAR file:
```
ZnSnP2O7
1.0
7.0179 0.0000 0.0000
0.0000 9.2635 0.0000
-3.1051 0.0000 8.6514
Zn Sn P O
4 4 8 28
direct
0.1884 0.0525 0.2927
0.1884 0.4475 0.7927
0.8116 0.5525 0.2073
0.8116 0.9475 0.7073
0.2928 0.1037 0.9414
0.2928 0.3963 0.4414
0.7072 0.6037 0.5586
0.7072 0.8963 0.0586
0.0141 0.7059 0.9597
0.0141 0.7941 0.4597
0.4040 0.7412 0.7271
0.4040 0.7588 0.2271
0.5960 0.2412 0.7729
0.5960 0.2588 0.2729
0.9859 0.2059 0.5403
0.9859 0.2941 0.0403
0.0020 0.5982 0.8315
0.0020 0.9018 0.3315
0.0082 0.1365 0.0928
0.0082 0.3635 0.5928
0.1493 0.1792 0.4626
0.1493 0.3208 0.9626
0.2273 0.6782 0.0907
0.2273 0.8218 0.5907
0.3595 0.5794 0.7194
0.3595 0.9206 0.2194
0.4007 0.2288 0.3109
0.4007 0.2712 0.8109
0.4137 0.6852 0.3763
0.4137 0.8148 0.8763
0.5863 0.1852 0.1237
0.5863 0.3148 0.6237
0.5993 0.7288 0.1891
0.5993 0.7712 0.6891
0.6405 0.0794 0.7806
0.6405 0.4206 0.2806
0.7727 0.1782 0.4093
0.7727 0.3218 0.9093
0.8507 0.6792 0.0374
0.8507 0.8208 0.5374
0.9918 0.6365 0.4072
0.9918 0.8635 0.9072
0.9980 0.0982 0.6685
0.9980 0.4018 0.1685
```

---

Question: What is the total magnetic moment in the first record?
Answer: 0.0 μB/f.u.